LiLaSmCu (PBE, relaxed); calculated density = 5.957 g/cm3; space group = F-43m (216); energy of formation from the pure elements = 0.021 eV/atom
1.0
5.215 0.000 0.000
2.607 4.516 0.000
2.607 1.505 4.258
Li Cu Sm La
1 1 1 1
Direct
0.250 0.250 0.250
0.750 0.750 0.750
0.500 0.500 0.500
0.000 0.000 0.000